Entry 1:
First-principles (GGA-PBE) data for a relaxed Hf3Al2 crystal, as listed in the Alexandria database.

Calculated values
- total magnetization (μB per formula unit) = 0.000
- formation energy (meV per atom) = -57

Structure (CIF):
```
data_Hf3Al2
_chemical_formula_sum 'Hf12 Al8'
_cell_length_a 11.789
_cell_length_b 3.230
_cell_length_c 11.019
_cell_angle_alpha 90.00
_cell_angle_beta 90.00
_cell_angle_gamma 90.00
_symmetry_space_group_name_H-M 'P n m a'
_symmetry_Int_Tables_number 62
loop_
_symmetry_equiv_pos_as_xyz
'x,y,z'
'-x,-y,-z'
'-x+1/2,-y,z+1/2'
'x+1/2,y,-z+1/2'
'x+1/2,-y+1/2,-z+1/2'
'-x+1/2,y+1/2,z+1/2'
'-x,y+1/2,-z'
'x,-y+1/2,z'
loop_
_atom_site_label
_atom_site_type_symbol
_atom_site_fract_x
_atom_site_fract_y
_atom_site_fract_z
Hf1 Hf 0.016 0.250 0.114
Hf2 Hf 0.115 0.750 0.560
Hf3 Hf 0.205 0.250 0.789
Al1 Al 0.045 0.750 0.318
Al2 Al 0.194 0.750 0.017
```

---

Entry 2:
First-principles (GGA-PBE) data for a relaxed HfAlHg2 crystal, as listed in the Alexandria database.

Calculated values
- total magnetization (μB per formula unit) = 0.000
- formation energy (meV per atom) = 321

Structure (CIF):
```
data_HfAlHg2
_chemical_formula_sum 'Hf3 Al3 Hg6'
_cell_length_a 3.1577
_cell_length_b 3.1577
_cell_length_c 31.3561
_cell_angle_alpha 90.00
_cell_angle_beta 90.00
_cell_angle_gamma 120.00
_symmetry_space_group_name_H-M 'R -3 m'
_symmetry_Int_Tables_number 166
_symmetry_space_group_name_Hall '-R 3 2"'
loop_
_atom_site_label
_atom_site_type_symbol
_atom_site_fract_x
_atom_site_fract_y
_atom_site_fract_z
Hf1 Hf 0.0000 0.0000 0.0000
Al1 Al 0.0000 0.0000 0.5000
Hg1 Hg 0.0000 0.0000 0.0924
```

---

Entry 3:
First-principles (GGA-PBE) data for a relaxed HfAl2Hg crystal, as listed in the Alexandria database.

Calculated values
- total magnetization (μB per formula unit) = 0.000
- formation energy (meV per atom) = -227

Structure (CIF):
```
data_HfAl2Hg
_chemical_formula_sum 'Hf1 Al2 Hg1'
_cell_length_a 4.254
_cell_length_b 4.254
_cell_length_c 4.066
_cell_angle_alpha 90.00
_cell_angle_beta 90.00
_cell_angle_gamma 90.00
_symmetry_space_group_name_H-M 'P 4/m m m'
_symmetry_Int_Tables_number 123
_symmetry_space_group_name_Hall '-P 4 2'
loop_
_atom_site_label
_atom_site_type_symbol
_atom_site_fract_x
_atom_site_fract_y
_atom_site_fract_z
Hf1 Hf 0.000 0.000 0.000
Al1 Al 0.000 0.500 0.500
Hg1 Hg 0.500 0.500 0.000
```

---

Entry 4:
First-principles (GGA-PBE) data for a relaxed HfAlHg2 crystal, as listed in the Alexandria database.

Calculated values
- total magnetization (μB per formula unit) = 0.000
- formation energy (meV per atom) = 169

Structure (CIF):
```
data_HfAlHg2
_chemical_formula_sum 'Hf4 Al4 Hg8'
_cell_length_a 7.633
_cell_length_b 7.633
_cell_length_c 5.977
_cell_angle_alpha 90.00
_cell_angle_beta 90.00
_cell_angle_gamma 90.00
_symmetry_space_group_name_H-M 'I -4 2 d'
_symmetry_Int_Tables_number 122
_symmetry_space_group_name_Hall 'I -4 2bw'
loop_
_atom_site_label
_atom_site_type_symbol
_atom_site_fract_x
_atom_site_fract_y
_atom_site_fract_z
Hf1 Hf 0.000 0.000 0.000
Al1 Al 0.000 0.000 0.500
Hg1 Hg 0.226 0.250 0.625
```